# MgZnSe2

Crystalline MgZnSe2 at its relaxed geometry (PBE, Alexandria via LeMat-Bulk).

abc: 5.155 13.650 5.459
angles: 90.00 90.00 90.00
Space group Cmcm (No. 63)
Asymmetric unit:
1 Mg 0.000 0.200 0.250 x4
2 Zn 0.000 0.452 0.750 x4
3 Se 0.000 0.004 0.250 x4
4 Se 0.000 0.265 0.750 x4

Properties
formation energy (no corrections): -0.582 eV/atom
total magnetic moment: 0.000 μB/f.u.
DOS(E_F): 5.78 states/eV per cell
E_tot: -48.67 eV for the cell shown